# Li4ZnSn2Hg (PBE, relaxed)
# Density (g cm⁻³): 6.1
# Space-group type: P-4m2, No. 115
# Uncorrected energy (eV per atom): -2.469
data_Li4ZnSn2Hg
_chemical_formula_sum 'Li4 Zn1 Sn2 Hg1'
_cell_length_a 4.677
_cell_length_b 4.677
_cell_length_c 6.615
_cell_angle_alpha 90.00
_cell_angle_beta 90.00
_cell_angle_gamma 90.00
_space_group_name_H-M_alt 'P 1'
_space_group_IT_number 1
loop_
_space_group_symop_operation_xyz
'x,y,z'
loop_
_atom_site_label
_atom_site_fract_x
_atom_site_fract_y
_atom_site_fract_z
Li1 0.500 0.500 0.000
Sn1 0.500 0.000 0.734
Sn2 0.000 0.500 0.266
Li2 0.000 0.500 0.742
Li3 0.000 0.000 0.500
Zn1 0.500 0.500 0.500
Hg1 0.000 0.000 0.000
Li4 0.500 0.000 0.258

---

# Ac2CdAu2 (PBE, relaxed)
# Density (g cm⁻³): 10.8
# Space-group type: P4/mbm, No. 127
# M_tot (μB/f.u.): 0.01
# Formation energy from the elements (eV per atom): -0.74
# Uncorrected energy (eV per atom): -3.865
data_Ac2CdAu2
_chemical_formula_sum 'Ac4 Cd2 Au4'
_cell_length_a 8.374
_cell_length_b 8.374
_cell_length_c 4.198
_cell_angle_alpha 90.00
_cell_angle_beta 90.00
_cell_angle_gamma 90.00
_space_group_name_H-M_alt 'P 1'
_space_group_IT_number 1
loop_
_space_group_symop_operation_xyz
'x,y,z'
loop_
_atom_site_label
_atom_site_fract_x
_atom_site_fract_y
_atom_site_fract_z
Au1 0.627 0.127 0.000
Ac1 0.173 0.673 0.500
Au2 0.373 0.873 0.000
Cd1 0.500 0.500 0.000
Ac2 0.827 0.327 0.500
Ac3 0.673 0.827 0.500
Cd2 0.000 0.000 0.000
Au3 0.873 0.627 0.000
Au4 0.127 0.373 0.000
Ac4 0.327 0.173 0.500

---

# NaSr3IrO6 (PBE, relaxed)
# Density (g cm⁻³): 6.2
# Space-group type: R-3c, No. 167
# M_tot (μB/f.u.): 2.00
# Uncorrected energy (eV per atom): -6.168
data_NaSr3IrO6
_chemical_formula_sum 'Na2 Sr6 Ir2 O12'
_cell_length_a 6.753
_cell_length_b 6.753
_cell_length_c 6.753
_cell_angle_alpha 90.82
_cell_angle_beta 90.82
_cell_angle_gamma 90.82
_space_group_name_H-M_alt 'P 1'
_space_group_IT_number 1
loop_
_space_group_symop_operation_xyz
'x,y,z'
loop_
_atom_site_label
_atom_site_fract_x
_atom_site_fract_y
_atom_site_fract_z
O1 0.922 0.056 0.719
Sr1 0.391 0.750 0.109
O2 0.719 0.922 0.056
O3 0.056 0.719 0.922
Sr2 0.609 0.250 0.891
Ir1 0.000 0.000 0.000
O4 0.781 0.444 0.578
O5 0.444 0.578 0.781
Sr3 0.250 0.891 0.609
O6 0.944 0.281 0.078
O7 0.422 0.219 0.556
Sr4 0.750 0.109 0.391
O8 0.578 0.781 0.444
Ir2 0.500 0.500 0.500
O9 0.078 0.944 0.281
Sr5 0.891 0.609 0.250
O10 0.556 0.422 0.219
O11 0.219 0.556 0.422
Na1 0.250 0.250 0.250
Sr6 0.109 0.391 0.750
O12 0.281 0.078 0.944
Na2 0.750 0.750 0.750

---

# RbAuNO (PBE, relaxed)
# Excess energy over the best structure of this formula in the dataset (meV/atom): 240
# Density (g cm⁻³): 6.0
# Space-group type: Pca2_1, No. 29
# Uncorrected energy (eV per atom): -3.794
data_RbAuNO
_chemical_formula_sum 'Rb4 Au4 N4 O4'
_cell_length_a 6.127
_cell_length_b 6.381
_cell_length_c 8.871
_cell_angle_alpha 90.00
_cell_angle_beta 90.00
_cell_angle_gamma 90.00
_space_group_name_H-M_alt 'P 1'
_space_group_IT_number 1
loop_
_space_group_symop_operation_xyz
'x,y,z'
loop_
_atom_site_label
_atom_site_fract_x
_atom_site_fract_y
_atom_site_fract_z
Au1 0.056 0.460 0.636
N1 0.013 0.481 0.842
Rb1 0.464 0.970 0.169
O1 0.651 0.886 0.467
Au2 0.444 0.960 0.636
O2 0.849 0.386 0.467
O3 0.349 0.386 0.533
Rb2 0.536 0.470 0.831
N2 0.513 0.481 0.158
Rb3 0.036 0.470 0.169
Au3 0.944 0.960 0.364
Rb4 0.964 0.970 0.831
N3 0.487 0.981 0.842
O4 0.151 0.886 0.533
Au4 0.556 0.460 0.364
N4 0.987 0.981 0.158